VASP calculation (PBE) on Pa2TcO after structural relaxation.

Cell: 3.4405 3.4405 7.3898 Å, 76.54 76.54 60.00°
Last column: nearest neighbours and their distance in Å.
Fractional positions:
Pa 0.7642 0.7642 0.7074  3 O 2.47
Pa 0.2358 0.2358 0.2926  3 O 2.47
Tc 0.0000 0.0000 0.0000  6 Pa 2.88
O 0.5000 0.5000 0.5000  6 Pa 2.47

Values from the calculation:
As for the space-group type: R-3m (166). The value obtained for the total energy is -38.825 eV per cell. The polymorph energy (0 for the lowest one) comes out at 0 meV per atom. Its energy relative to the elements, uncorrected is -1127 meV per atom.